(1)
Density functional theory data (PBE-GGA) for a relaxed LaCrRu crystal.

Its total DFT energy (no corrections) is -7.78 eV/atom. The calculation puts the formation energy at 164 meV/atom. The magnetization is 0.78 μB per formula unit.

The space group is P-6m2 (No. 187) and the conventional cell measures 4.0181, 4.0181 and 4.7523 Å, with angles of 90.00, 90.00 and 120.00 degrees. The inequivalent atoms are La at (0.0000, 0.0000, 0.0000), Cr at (0.3333, 0.6667, 0.5000) and Ru at (0.6667, 0.3333, 0.5000).



(2)
Density functional theory data (PBE-GGA) for a relaxed LaCrRu3 crystal.

Its total DFT energy (no corrections) is -8.10 eV/atom. The calculation puts the formation energy at 377 meV/atom. The magnetization is 0.00 μB per formula unit.

The space group is Pm-3m (No. 221) and the conventional cell measures 4.543, 4.543 and 4.543 Å, with angles of 90.00, 90.00 and 90.00 degrees. The inequivalent atoms are La at (0.000, 0.000, 0.000), Cr at (0.500, 0.500, 0.500) and Ru at (0.000, 0.500, 0.500).



(3)
Density functional theory data (PBE-GGA) for a relaxed LaCrRu2 crystal.

Its total DFT energy (no corrections) is -8.15 eV/atom. The calculation puts the formation energy at 125 meV/atom. The magnetization is 0.05 μB per formula unit.

The space group is C2/m (No. 12) and the conventional cell measures 7.265, 4.197 and 5.873 Å, with angles of 90.00, 114.27 and 90.00 degrees. The inequivalent atoms are La at (0.000, 0.000, 0.000), Cr at (0.000, 0.500, 0.500) and Ru at (0.197, 0.000, 0.593).



(4)
Density functional theory data (PBE-GGA) for a relaxed LaCrRu2 crystal.

Its total DFT energy (no corrections) is -7.75 eV/atom. The calculation puts the formation energy at 522 meV/atom. The magnetization is 3.10 μB per formula unit.

The space group is Pmmm (No. 47) and the conventional cell measures 3.143, 4.559 and 4.952 Å, with angles of 90.00, 90.00 and 90.00 degrees. The inequivalent atoms are La at (0.000, 0.000, 0.000), Cr at (0.500, 0.000, 0.500), Ru at (0.000, 0.500, 0.500) and Ru at (0.500, 0.500, 0.000).



(5)
Density functional theory data (PBE-GGA) for a relaxed LaCrRu2 crystal.

Its total DFT energy (no corrections) is -7.55 eV/atom. The calculation puts the formation energy at 723 meV/atom. The magnetization is 0.43 μB per formula unit.

The space group is R3m (No. 160, hexagonal axes) and the conventional cell measures 2.8615, 2.8615 and 28.3932 Å, with angles of 90.00, 90.00 and 120.00 degrees. The inequivalent atoms are La at (0.0000, 0.0000, 0.0000), Cr at (0.0000, 0.0000, 0.2399), Ru at (0.0000, 0.0000, 0.5059) and Ru at (0.0000, 0.0000, 0.7642).



(6)
Density functional theory data (PBE-GGA) for a relaxed LaCrRu crystal.

Its total DFT energy (no corrections) is -6.87 eV/atom. The calculation puts the formation energy at 1067 meV/atom. The magnetization is 4.41 μB per formula unit.

The space group is F-43m (No. 216) and the conventional cell measures 6.489, 6.489 and 6.489 Å, with angles of 90.00, 90.00 and 90.00 degrees. The inequivalent atoms are La at (0.000, 0.000, 0.000), Cr at (0.250, 0.250, 0.250) and Ru at (0.250, 0.250, 0.750).



(7)
Density functional theory data (PBE-GGA) for a relaxed LaCrRu2 crystal.

Its total DFT energy (no corrections) is -7.91 eV/atom. The calculation puts the formation energy at 367 meV/atom. The magnetization is 0.01 μB per formula unit.

The space group is Pm (No. 6) and the conventional cell measures 2.870, 3.720 and 6.877 Å, with angles of 90.00, 100.38 and 90.00 degrees. The inequivalent atoms are La at (0.000, 0.000, 0.000), Cr at (0.539, 0.500, 0.650), Ru at (0.101, 0.000, 0.514) and Ru at (0.487, 0.500, 0.294).



(8)
Density functional theory data (PBE-GGA) for a relaxed LaCrRu2 crystal.

Its total DFT energy (no corrections) is -7.87 eV/atom. The calculation puts the formation energy at 403 meV/atom. The magnetization is 0.01 μB per formula unit.

The space group is P4mm (No. 99) and the conventional cell measures 3.125, 3.125 and 7.320 Å, with angles of 90.00, 90.00 and 90.00 degrees. The inequivalent atoms are La at (0.000, 0.000, 0.000), Cr at (0.500, 0.500, 0.660), Ru at (0.000, 0.000, 0.518) and Ru at (0.500, 0.500, 0.298).



(9)
Density functional theory data (PBE-GGA) for a relaxed LaCr2RuW crystal.

Its total DFT energy (no corrections) is -8.47 eV/atom. The calculation puts the formation energy at 812 meV/atom. The magnetization is 4.84 μB per formula unit.

The space group is P4/mmm (No. 123) and the conventional cell measures 4.690, 4.690 and 4.850 Å, with angles of 90.00, 90.00 and 90.00 degrees. The inequivalent atoms are La at (0.000, 0.000, 0.000), Cr at (0.000, 0.500, 0.500), Ru at (0.500, 0.500, 0.000) and W at (0.500, 0.500, 0.500).



(10)
Density functional theory data (PBE-GGA) for a relaxed La2ZrCrRu crystal.

Its total DFT energy (no corrections) is -6.67 eV/atom. The calculation puts the formation energy at 794 meV/atom. The magnetization is 0.18 μB per formula unit.

The space group is P4/mmm (No. 123) and the conventional cell measures 5.410, 5.410 and 5.066 Å, with angles of 90.00, 90.00 and 90.00 degrees. The inequivalent atoms are La at (0.000, 0.500, 0.000), Zr at (0.000, 0.000, 0.500), Cr at (0.500, 0.500, 0.500) and Ru at (0.000, 0.000, 0.000).



(11)
Density functional theory data (PBE-GGA) for a relaxed LaCrS2 crystal.

Its total DFT energy (no corrections) is -6.59 eV/atom. The calculation puts the formation energy from raw total energies at -887 meV/atom. The magnetization is 0.00 μB per formula unit.

The space group is I-42d (No. 122) and the conventional cell measures 5.496, 5.496 and 12.212 Å, with angles of 90.00, 90.00 and 90.00 degrees. The inequivalent atoms are La at (0.000, 0.000, 0.000), Cr at (0.000, 0.000, 0.500) and S at (0.150, 0.250, 0.625).



(12)
Density functional theory data (PBE-GGA) for a relaxed LaCrS2 crystal.

Its total DFT energy (no corrections) is -6.79 eV/atom. The calculation puts the formation energy from raw total energies at -1093 meV/atom. The magnetization is 5.00 μB per formula unit.

The space group is R-3m (No. 166, hexagonal axes) and the conventional cell measures 4.3845, 4.3845 and 22.5020 Å, with angles of 90.00, 90.00 and 120.00 degrees. The inequivalent atoms are La at (0.0000, 0.0000, 0.0000), Cr at (0.0000, 0.0000, 0.5000) and S at (0.0000, 0.0000, 0.3961).



(13)
Density functional theory data (PBE-GGA) for a relaxed LaCr3S crystal.

Its total DFT energy (no corrections) is -5.29 eV/atom. The calculation puts the formation energy from raw total energies at 2300 meV/atom. The magnetization is 0.00 μB per formula unit.

The space group is Pm-3m (No. 221) and the conventional cell measures 4.522, 4.522 and 4.522 Å, with angles of 90.00, 90.00 and 90.00 degrees. The inequivalent atoms are La at (0.000, 0.000, 0.000), Cr at (0.000, 0.000, 0.500) and S at (0.500, 0.500, 0.500).



(14)
Density functional theory data (PBE-GGA) for a relaxed LaCr3S crystal.

Its total DFT energy (no corrections) is -7.33 eV/atom. The calculation puts the formation energy from raw total energies at 251 meV/atom. The magnetization is 4.84 μB per formula unit.

The space group is Pm-3m (No. 221) and the conventional cell measures 4.411, 4.411 and 4.411 Å, with angles of 90.00, 90.00 and 90.00 degrees. The inequivalent atoms are La at (0.000, 0.000, 0.000), Cr at (0.000, 0.500, 0.500) and S at (0.500, 0.500, 0.500).



no.,V (Å³ per atom)
1,22.15
2,18.75
3,20.41
4,17.74
5,16.78
6,22.77
7,18.05
8,17.87
9,21.33
10,29.66
11,23.05
12,31.22
13,18.50
14,17.16